TbCe2Al: relaxed, PBE.

Geometry as POSCAR:
```
TbCe2Al
1.0
-2.110 0.319 4.913
3.181 -0.244 4.303
0.809 4.374 2.984
Al Ce Tb
1 2 1
Direct
0.500 0.500 0.500
0.250 0.250 0.250
0.750 0.750 0.750
0.000 0.000 0.000
```

Properties
Density of states at the Fermi level ... 3.08 states/eV/atom
ρ ... 7.122 g cm⁻³
Energy of formation ... 31 meV per atom
Energy above the lowest structure with this stoichiometry ... 213 meV/atom
Size of the total moment ... 1.91 μB per formula unit

TbCe2Al: relaxed, PBE.

Geometry as POSCAR:
```
TbCe2Al
1.0
-4.067 -0.986 -2.718
3.431 -4.352 -3.555
-1.611 -4.622 4.086
Al Ce Tb
2 4 2
Direct
0.750 0.677 0.751
0.250 0.323 0.249
0.250 0.889 0.533
0.750 0.111 0.467
0.250 0.889 0.968
0.750 0.111 0.032
0.250 0.399 0.749
0.750 0.601 0.251
```

Properties
Density of states at the Fermi level ... 2.20 states/eV/atom
ρ ... 7.391 g cm⁻³
Energy of formation ... -182 meV per atom
Energy above the lowest structure with this stoichiometry ... 0 meV/atom
Size of the total moment ... 0.00 μB per formula unit

TbCe2Al: relaxed, PBE.

Geometry as POSCAR:
```
TbCe2Al
1.0
3.186 0.000 0.000
1.593 2.760 0.000
1.593 0.920 11.700
Ce Tb Al
2 1 1
Direct
0.092 0.092 0.724
0.908 0.908 0.276
0.000 0.000 0.000
0.500 0.500 0.500
```

Properties
Density of states at the Fermi level ... 2.11 states/eV/atom
ρ ... 7.524 g cm⁻³
Energy of formation ... 121 meV per atom
Energy above the lowest structure with this stoichiometry ... 303 meV/atom
Size of the total moment ... 0.00 μB per formula unit

Tb2CeAl9: relaxed, PBE.

Geometry as POSCAR:
```
Tb2CeAl9
1.0
5.578 0.000 0.000
2.789 4.830 0.000
2.789 1.610 8.828
Al Tb Ce
9 2 1
Direct
0.587 0.077 0.750
0.413 0.923 0.250
0.413 0.413 0.250
0.500 0.500 0.500
0.077 0.587 0.750
0.665 0.665 0.005
0.335 0.335 0.995
0.923 0.413 0.250
0.587 0.587 0.750
0.141 0.141 0.578
0.859 0.859 0.422
0.000 0.000 0.000
```

Properties
Density of states at the Fermi level ... 0.78 states/eV/atom
ρ ... 4.893 g cm⁻³
Energy of formation ... -392 meV per atom
Size of the total moment ... 0.80 μB per formula unit

Tb2CeAl6: relaxed, PBE.

Geometry as POSCAR:
```
Tb2CeAl6
1.0
-0.505 2.547 -2.388
-6.479 -3.771 -2.653
-0.629 5.355 5.845
Tb Al Ce
2 6 1
Direct
0.000 0.333 0.667
0.000 0.667 0.333
0.500 0.334 0.000
0.500 0.000 0.666
0.500 0.000 0.334
0.500 0.334 0.334
0.500 0.666 0.000
0.500 0.666 0.666
0.000 0.000 0.000
```

Properties
Density of states at the Fermi level ... 0.71 states/eV/atom
ρ ... 5.328 g cm⁻³
Energy of formation ... -468 meV per atom
Size of the total moment ... 0.73 μB per formula unit

TbCe3Al8: relaxed, PBE.

Geometry as POSCAR:
```
TbCe3Al8
1.0
-1.761 -5.078 1.620
2.358 -2.505 4.436
-5.990 1.370 7.510
Al Ce Tb
8 3 1
Direct
0.437 0.437 0.189
0.938 0.938 0.685
0.687 0.687 0.939
0.188 0.188 0.437
0.437 0.936 0.189
0.938 0.438 0.685
0.438 0.938 0.685
0.936 0.437 0.189
0.375 0.375 0.875
0.498 0.498 0.506
0.002 0.002 0.995
0.875 0.875 0.375
```

Properties
Density of states at the Fermi level ... 1.49 states/eV/atom
ρ ... 5.290 g cm⁻³
Energy of formation ... -469 meV per atom
Energy above the lowest structure with this stoichiometry ... 0 meV/atom
Size of the total moment ... 2.46 μB per formula unit

TbCeTiAl: relaxed, PBE.

Geometry as POSCAR:
```
TbCeTiAl
1.0
5.169 0.000 0.000
2.585 4.477 0.000
2.585 1.492 4.221
Ti Ce Tb Al
1 1 1 1
Direct
0.250 0.250 0.250
0.000 0.000 0.000
0.500 0.500 0.500
0.750 0.750 0.750
```

Properties
Density of states at the Fermi level ... 1.54 states/eV/atom
ρ ... 6.357 g cm⁻³
Energy of formation ... -19 meV per atom
Size of the total moment ... 3.21 μB per formula unit

TbCeAlTl: relaxed, PBE.

Geometry as POSCAR:
```
TbCeAlTl
1.0
-4.873 -1.991 -0.799
-0.990 -2.966 -4.309
-0.854 -5.231 0.508
Al Tl Ce Tb
1 1 1 1
Direct
0.500 0.500 0.500
0.000 0.000 0.000
0.750 0.750 0.750
0.250 0.250 0.250
```

Properties
Density of states at the Fermi level ... 1.83 states/eV/atom
ρ ... 8.254 g cm⁻³
Energy of formation ... -270 meV per atom
Size of the total moment ... 0.96 μB per formula unit

TbCeTmAl: relaxed, PBE.

Geometry as POSCAR:
```
TbCeTmAl
1.0
5.317 0.000 0.000
2.658 4.604 0.000
2.658 1.535 4.341
Tm Al Tb Ce
1 1 1 1
Direct
0.750 0.750 0.750
0.250 0.250 0.250
0.000 0.000 0.000
0.500 0.500 0.500
```

Properties
Density of states at the Fermi level ... 2.02 states/eV/atom
ρ ... 7.735 g cm⁻³
Energy of formation ... -48 meV per atom
Size of the total moment ... 0.39 μB per formula unit

TbCeAlZn: relaxed, PBE.

Geometry as POSCAR:
```
TbCeAlZn
1.0
-1.375 0.147 -4.936
-4.946 -0.373 -1.295
-2.481 4.088 -1.849
Ce Tb Al Zn
1 1 1 1
Direct
0.250 0.250 0.250
0.750 0.750 0.750
0.500 0.500 0.500
0.000 0.000 0.000
```

Properties
Density of states at the Fermi level ... 1.50 states/eV/atom
ρ ... 6.822 g cm⁻³
Energy of formation ... -302 meV per atom
Size of the total moment ... 0.34 μB per formula unit

TbCeAl2Zn2: relaxed, PBE.

Geometry as POSCAR:
```
TbCeAl2Zn2
1.0
-3.188 0.397 3.152
2.717 -3.587 -0.013
4.757 3.588 4.359
Tb Ce Zn Al
1 1 2 2
Direct
0.000 0.000 0.500
0.000 0.000 0.000
0.667 0.333 0.734
0.333 0.667 0.266
0.333 0.667 0.743
0.667 0.333 0.257
```

Properties
Density of states at the Fermi level ... 1.27 states/eV/atom
ρ ... 6.204 g cm⁻³
Energy of formation ... -386 meV per atom
Size of the total moment ... 0.93 μB per formula unit

TbCeZrAl: relaxed, PBE.

Geometry as POSCAR:
```
TbCeZrAl
1.0
5.140 0.000 0.000
2.570 4.451 0.000
2.570 1.484 4.196
Ce Tb Al Zr
1 1 1 1
Direct
0.000 0.000 0.000
0.750 0.750 0.750
0.500 0.500 0.500
0.250 0.250 0.250
```

Properties
Density of states at the Fermi level ... 1.71 states/eV/atom
ρ ... 7.217 g cm⁻³
Energy of formation ... -6 meV per atom
Size of the total moment ... 0.02 μB per formula unit